Entry 1:
# GGA-PBE Nd4Er7Th, optimized geometry
# M_tot (μB per formula unit): 0.00
# Formation energy (eV/atom): 0.02
# Offset from the most stable computed form (meV/atom): 0
data_Nd4Er7Th
_cell_length_a 7.116
_cell_length_b 7.973
_cell_length_c 7.974
_cell_angle_alpha 95.92
_cell_angle_beta 102.36
_cell_angle_gamma 116.38
_space_group_name_H-M_alt 'P -1'
_space_group_IT_number 2
loop_
_space_group_symop_operation_xyz
'x,y,z'
'-x,-y,-z'
loop_
_atom_site_label
_atom_site_fract_x
_atom_site_fract_y
_atom_site_fract_z
Nd1 0.006 0.169 0.170
Nd2 0.255 0.667 0.171
Er1 0.000 0.500 0.500
Er2 0.252 0.004 0.499
Er3 0.254 0.336 0.829
Er4 0.498 0.829 0.829
Th1 0.500 0.500 0.500

Entry 2:
# GGA-PBE Co2SiRh, optimized geometry
# M_tot (μB per formula unit): 3.01
# Uncorrected formation energy (eV/atom): -0.22
data_Co2SiRh
_cell_length_a 2.785
_cell_length_b 4.073
_cell_length_c 4.232
_cell_angle_alpha 90.00
_cell_angle_beta 90.00
_cell_angle_gamma 90.00
_space_group_name_H-M_alt 'P m m m'
_space_group_IT_number 47
loop_
_space_group_symop_operation_xyz
'x,y,z'
'-x,-y,-z'
'-x,-y,z'
'x,y,-z'
'x,-y,-z'
'-x,y,z'
'-x,y,-z'
'x,-y,z'
loop_
_atom_site_label
_atom_site_fract_x
_atom_site_fract_y
_atom_site_fract_z
Co1 0.000 0.000 0.000
Co2 0.500 0.500 0.000
Si1 0.000 0.500 0.500
Rh1 0.500 0.000 0.500

Entry 3:
# GGA-PBE Pm4PrTl, optimized geometry
# M_tot (μB per formula unit): 0.00
# Formation energy (eV/atom): -0.06
# Offset from the most stable computed form (meV/atom): 50
data_Pm4PrTl
_cell_length_a 6.640
_cell_length_b 6.818
_cell_length_c 8.959
_cell_angle_alpha 90.00
_cell_angle_beta 100.84
_cell_angle_gamma 90.00
_space_group_name_H-M_alt 'P 1 21/m 1'
_space_group_IT_number 11
loop_
_space_group_symop_operation_xyz
'x,y,z'
'-x,-y,-z'
'-x,y+1/2,-z'
'x,-y+1/2,z'
loop_
_atom_site_label
_atom_site_fract_x
_atom_site_fract_y
_atom_site_fract_z
Pm1 0.080 0.250 0.332
Pm2 0.174 0.250 0.937
Pm3 0.419 0.501 0.673
Pr1 0.309 0.750 0.002
Tl1 0.149 0.750 0.372